[1]
First-principles (PBEsol) data for a relaxed structure of Cr2RuCl, as listed in Alexandria via LeMat-Bulk.

The value obtained for the distance to the lowest polymorph of the same formula is 398 meV per atom. As for the uncorrected formation energy: 81.7 kJ/mol of atoms. The size of the total moment is 0.01 μB/f.u.

Unit cell a=5.836 b=5.836 c=5.836 alpha=90.00 beta=90.00 gamma=90.00
Space group Fm-3m (No. 225)
One atom of each set of equivalent atoms:
Cr  0.250  0.250  0.250 (multiplicity 8)
Ru  0.000  0.000  0.000 (multiplicity 4)
Cl  0.000  0.000  0.500 (multiplicity 4)



[2]
First-principles (PBEsol) data for a relaxed structure of Ba2UZnO6, as listed in Alexandria via LeMat-Bulk.

As for the uncorrected formation energy: -268.4 kJ/mol of atoms. The size of the total moment is 0.00 μB/f.u.

Unit cell a=8.370 b=8.370 c=8.370 alpha=90.00 beta=90.00 gamma=90.00
Space group Fm-3m (No. 225)
One atom of each set of equivalent atoms:
Ba  0.250  0.250  0.250 (multiplicity 8)
U  0.000  0.000  0.000 (multiplicity 4)
Zn  0.000  0.000  0.500 (multiplicity 4)
O  0.000  0.000  0.248 (multiplicity 24)



[3]
First-principles (PBEsol) data for a relaxed structure of Ba4Sm2Cd3S10, as listed in Alexandria via LeMat-Bulk.

As for the uncorrected formation energy: -159.2 kJ/mol of atoms. The size of the total moment is 0.00 μB/f.u.

Unit cell a=4.163 b=17.865 c=26.512 alpha=90.00 beta=90.00 gamma=90.00
Space group Cmc2_1 (No. 36)
One atom of each set of equivalent atoms:
Ba  0.000  0.075  0.000 (multiplicity 4)
Ba  0.000  0.096  0.182 (multiplicity 4)
Ba  0.000  0.336  0.952 (multiplicity 4)
Ba  0.000  0.337  0.235 (multiplicity 4)
Sm  0.000  0.003  0.342 (multiplicity 4)
Sm  0.000  0.418  0.097 (multiplicity 4)
Cd  0.000  0.282  0.575 (multiplicity 4)
Cd  0.000  0.340  0.805 (multiplicity 4)
Cd  0.000  0.346  0.388 (multiplicity 4)
S  0.000  0.079  0.666 (multiplicity 4)
S  0.000  0.094  0.526 (multiplicity 4)
S  0.000  0.154  0.833 (multiplicity 4)
S  0.000  0.158  0.361 (multiplicity 4)
S  0.000  0.263  0.113 (multiplicity 4)
S  0.000  0.288  0.720 (multiplicity 4)
S  0.000  0.293  0.475 (multiplicity 4)
S  0.000  0.428  0.590 (multiplicity 4)
S  0.000  0.484  0.774 (multiplicity 4)
S  0.000  0.490  0.415 (multiplicity 4)



[4]
First-principles (PBEsol) data for a relaxed structure of AlReAu, as listed in Alexandria via LeMat-Bulk.

The calculation puts the energy relative to the elements at 0.155 eV/atom. The value obtained for the distance to the lowest polymorph of the same formula is 16 meV per atom. The size of the total moment is 0.00 μB/f.u.

Unit cell a=2.770 b=3.189 c=10.253 alpha=90.00 beta=90.00 gamma=90.00
Space group Imm2 (No. 44)
One atom of each set of equivalent atoms:
Al  0.000  0.000  0.000 (multiplicity 2)
Re  0.000  0.000  0.348 (multiplicity 2)
Au  0.000  0.000  0.660 (multiplicity 2)



[5]
First-principles (PBEsol) data for a relaxed structure of CaLa2SbF, as listed in Alexandria via LeMat-Bulk.

As for the uncorrected formation energy: -69.2 kJ/mol of atoms. The size of the total moment is 0.00 μB/f.u.

Unit cell a=5.942 b=5.942 c=4.140 alpha=90.00 beta=90.00 gamma=90.00
Space group P4/mmm (No. 123)
One atom of each set of equivalent atoms:
Ca  0.000  0.000  0.000 (multiplicity 1)
La  0.000  0.500  0.000 (multiplicity 2)
Sb  0.500  0.500  0.500 (multiplicity 1)
F  0.000  0.000  0.500 (multiplicity 1)



[6]
First-principles (PBEsol) data for a relaxed structure of ZnMoPt, as listed in Alexandria via LeMat-Bulk.

The calculation puts the energy relative to the elements at 0.560 eV/atom. The size of the total moment is 0.33 μB/f.u.

Unit cell a=5.788 b=5.788 c=5.788 alpha=90.00 beta=90.00 gamma=90.00
Space group F-43m (No. 216)
One atom of each set of equivalent atoms:
Zn  0.000  0.000  0.000 (multiplicity 4)
Mo  0.250  0.250  0.750 (multiplicity 4)
Pt  0.250  0.250  0.250 (multiplicity 4)



[7]
First-principles (PBEsol) data for a relaxed structure of Ba2CaW2, as listed in Alexandria via LeMat-Bulk.

The calculation puts the energy relative to the elements at 1.406 eV/atom. The size of the total moment is 0.00 μB/f.u.

Unit cell a=4.854 b=4.854 c=13.891 alpha=90.00 beta=90.00 gamma=90.00
Space group I4/mmm (No. 139)
One atom of each set of equivalent atoms:
Ba  0.000  0.500  0.250 (multiplicity 4)
Ca  0.000  0.000  0.000 (multiplicity 2)
W  0.000  0.000  0.422 (multiplicity 4)



[8]
First-principles (PBEsol) data for a relaxed structure of HfAgP2Se, as listed in Alexandria via LeMat-Bulk.

As for the uncorrected formation energy: 78.7 kJ/mol of atoms. The size of the total moment is 0.00 μB/f.u.

Unit cell a=4.806 b=4.806 c=5.409 alpha=90.00 beta=90.00 gamma=90.00
Space group P4/mmm (No. 123)
One atom of each set of equivalent atoms:
Hf  0.000  0.000  0.000 (multiplicity 1)
Ag  0.000  0.000  0.500 (multiplicity 1)
P  0.000  0.500  0.000 (multiplicity 2)
Se  0.500  0.500  0.500 (multiplicity 1)



What is the formula in the second record?
Ba2UZnO6



size of the total moment of number 1 (Cr2RuCl)?
0.01 μB/f.u.



size of the total moment of number 5 (CaLa2SbF)?
0.00 μB/f.u.